(1)
This record from the Alexandria database describes a PBEsol-optimized structure of SrCoRh. The functional is meta-GGA SCAN.

Properties
For the spin magnetization, the calculation gives 2.0 μB/cell. Its crystal system is hexagonal. The density is 6534 kg/m3. The energy of formation comes out at 0.07 kcal/mol of atoms.

Cell: 3.991 3.991 4.596 Å, 90.00 90.00 120.00°
Sites, in units of the cell vectors:
Sr (0.000, 0.000, 0.000)
Co (0.333, 0.667, 0.500)
Rh (0.667, 0.333, 0.500)

(2)
This record from the Alexandria database describes a PBEsol-optimized structure of Sr2CoRh. The functional is meta-GGA SCAN.

Properties
For the spin magnetization, the calculation gives 2.1 μB/cell. Its crystal system is tetragonal. The density is 5571 kg/m3. The energy of formation comes out at 3.90 kcal/mol of atoms.

Cell: 3.420 3.420 8.587 Å, 90.00 90.00 90.00°
Sites, in units of the cell vectors:
Sr (0.000, 0.000, 0.000)
Sr (0.500, 0.500, 0.422)
Co (0.000, 0.000, 0.676)
Rh (0.500, 0.500, 0.752)

(3)
This record from the Alexandria database describes a PBEsol-optimized structure of SrCo4Rh. The functional is meta-GGA SCAN.

Properties
For the spin magnetization, the calculation gives 8.2 μB/cell. Its crystal system is cubic. The density is 8474 kg/m3. The energy of formation comes out at 8.75 kcal/mol of atoms.

Cell: 4.907 4.907 4.907 Å, 60.00 60.00 60.00°
Sites, in units of the cell vectors:
Sr (0.000, 0.000, 0.000)
Co (0.128, 0.624, 0.624)
Co (0.624, 0.128, 0.624)
Co (0.624, 0.624, 0.128)
Co (0.624, 0.624, 0.624)
Rh (0.250, 0.250, 0.250)

(4)
This record from the Alexandria database describes a PBEsol-optimized structure of SrCo3Rh. The functional is meta-GGA SCAN.

Properties
For the spin magnetization, the calculation gives 6.9 μB/cell. Its crystal system is cubic. The density is 6352 kg/m3. The energy of formation comes out at 13.43 kcal/mol of atoms.

Cell: 4.579 4.579 4.579 Å, 90.00 90.00 90.00°
Sites, in units of the cell vectors:
Sr (0.000, 0.000, 0.000)
Co (0.000, 0.500, 0.500)
Co (0.500, 0.000, 0.500)
Co (0.500, 0.500, 0.000)
Rh (0.500, 0.500, 0.500)